{"formula": "CaLaPm2S4", "functional": "PBE", "state": "optimized geometry", "cell": [[8.130, 0.005, -0.008], [-0.001, 8.130, -0.008], [-4.033, -4.036, 5.758]], "species": ["Ca", "S", "Ca", "La", "S", "S", "Pm", "S", "S", "S", "Pm", "S", "La", "S", "Pm", "Pm"], "fractional_positions": [[0.000, 0.500, 0.000], [0.752, 0.748, 0.495], [0.000, 0.500, 0.500], [0.500, 0.500, 0.500], [0.248, 0.252, 0.995], [0.249, 0.744, 0.997], [0.500, 0.500, 0.000], [0.244, 0.749, 0.497], [0.756, 0.251, 0.503], [0.248, 0.252, 0.505], [0.000, 0.000, 0.500], [0.751, 0.256, 0.003], [0.000, 0.000, 0.000], [0.752, 0.748, 0.005], [0.500, 0.000, 0.500], [0.500, 0.000, 0.000]], "space_group": "Imma", "dos_at_fermi_per_ev_cell": 8.574, "raw_formation_energy_ev_per_atom": -2.074, "magnetic_moment_mub_per_fu": 0.00}

{"formula": "La2Pr12Ho5", "functional": "PBE", "state": "optimized geometry", "cell": [[-8.006, 1.946, 5.119], [-1.886, -6.168, -9.794], [4.159, -2.594, 7.491]], "species": ["La", "Ho", "Ho", "Pr", "Pr", "Pr", "La", "Pr", "Pr", "Pr", "Ho", "Pr", "Pr", "Ho", "Pr", "Pr", "Pr", "Ho", "Pr"], "fractional_positions": [[0.677, 0.000, 0.000], [0.311, 0.622, 0.669], [0.714, 0.428, 0.987], [0.423, 0.348, 0.616], [0.920, 0.230, 0.922], [0.916, 0.831, 0.756], [0.323, 0.000, 0.000], [0.080, 0.770, 0.078], [0.310, 0.230, 0.922], [0.475, 0.950, 0.624], [0.286, 0.572, 0.013], [0.690, 0.770, 0.078], [0.577, 0.652, 0.384], [0.689, 0.378, 0.331], [0.525, 0.050, 0.376], [0.925, 0.348, 0.616], [0.075, 0.652, 0.384], [0.000, 0.000, 0.500], [0.084, 0.169, 0.244]], "delta_e_f_ev_per_fu": 3.61, "space_group": "C2/m", "dos_at_fermi_per_ev_cell": 22.322, "e_above_lowest_polymorph_ev_per_fu": 1.31, "magnetic_moment_mub_per_fu": 0.00}

{"formula": "Ce2EuTl", "functional": "PBE", "state": "optimized geometry", "cell": [[5.001, 0.000, 0.000], [0.000, 4.893, 0.000], [0.000, 0.000, 4.893]], "species": ["Ce", "Tl", "Ce", "Eu"], "fractional_positions": [[0.000, 0.000, 0.500], [0.500, 0.000, 0.000], [0.000, 0.500, 0.000], [0.500, 0.500, 0.500]], "delta_e_f_ev_per_fu": -0.30, "space_group": "P4/mmm", "dos_at_fermi_per_ev_cell": 9.612, "e_above_lowest_polymorph_ev_per_fu": 0.00, "magnetic_moment_mub_per_fu": 9.87}

{"formula": "Zr2ZnSe", "functional": "PBE", "state": "optimized geometry", "cell": [[-2.621, 1.430, 1.906], [-1.890, -2.830, -0.475], [5.050, -5.193, 10.844]], "species": ["Zr", "Zr", "Se", "Zr", "Zr", "Zn", "Se", "Zn"], "fractional_positions": [[0.500, 0.500, 0.006], [0.500, 0.000, 0.506], [0.000, 0.000, 0.095], [0.500, 0.500, 0.754], [0.500, 0.000, 0.254], [0.000, 0.500, 0.365], [0.000, 0.500, 0.595], [0.000, 0.000, 0.865]], "space_group": "Amm2", "dos_at_fermi_per_ev_cell": 2.120, "raw_formation_energy_ev_per_atom": -0.683, "e_above_lowest_polymorph_ev_per_fu": 0.00, "magnetic_moment_mub_per_fu": 0.00}

{"formula": "CaPHW2", "functional": "PBE", "state": "optimized geometry", "cell": [[-3.015, 3.813, -1.012], [-1.325, -0.274, 2.917], [3.373, 3.152, 1.828]], "species": ["H", "W", "P", "W", "Ca"], "fractional_positions": [[0.000, 0.500, 0.000], [0.000, 0.000, 0.500], [0.500, 0.500, 0.500], [0.500, 0.000, 0.000], [0.000, 0.000, 0.000]], "space_group": "P4/mmm", "dos_at_fermi_per_ev_cell": 6.480, "magnetic_moment_mub_per_fu": 0.00}

{"formula": "Pm6Ge2P3Se", "functional": "PBE", "state": "optimized geometry", "cell": [[-2.942, -2.335, 1.719], [5.217, -1.858, 6.406], [-2.866, 8.715, 1.970]], "species": ["P", "Se", "Pm", "Pm", "Pm", "Pm", "Pm", "P", "Pm", "Ge", "P", "Ge"], "fractional_positions": [[0.835, 0.166, 0.671], [0.500, 0.000, 0.000], [0.999, 0.259, 0.997], [0.331, 0.923, 0.662], [0.664, 0.592, 0.328], [0.001, 0.741, 0.003], [0.669, 0.077, 0.338], [0.165, 0.834, 0.329], [0.336, 0.408, 0.672], [0.167, 0.334, 0.333], [0.500, 0.500, 0.000], [0.833, 0.666, 0.667]], "space_group": "C2/m", "dos_at_fermi_per_ev_cell": 4.709, "raw_formation_energy_ev_per_atom": -1.365, "magnetic_moment_mub_per_fu": 0.00}

{"formula": "Pr2AgTeO6", "functional": "PBE", "state": "optimized geometry", "cell": [[5.980, 0.000, 0.000], [2.990, 5.179, 0.000], [2.990, 1.727, 5.147]], "species": ["O", "Ag", "O", "O", "O", "Pr", "Pr", "Te", "O", "O"], "fractional_positions": [[0.408, 0.673, 0.775], [0.795, 0.795, 0.616], [0.144, 0.408, 0.775], [0.219, 0.971, 0.236], [0.673, 0.144, 0.775], [0.533, 0.533, 0.401], [0.024, 0.025, 0.926], [0.320, 0.320, 0.040], [0.971, 0.574, 0.236], [0.574, 0.219, 0.236]], "space_group": "R3", "dos_at_fermi_per_ev_cell": 3.320, "raw_formation_energy_ev_per_atom": -1.978, "magnetic_moment_mub_per_fu": 0.00}

{"formula": "Ho2Ga2CuRh5", "functional": "PBE", "state": "optimized geometry", "cell": [[3.514, 0.000, 0.000], [0.000, 9.729, 0.000], [0.000, 0.000, 9.729]], "species": ["Cu", "Rh", "Ho", "Rh", "Rh", "Ho", "Ga", "Rh", "Rh", "Ho", "Rh", "Ga", "Ho", "Rh", "Rh", "Rh", "Ga", "Cu", "Rh", "Ga"], "fractional_positions": [[0.000, 0.500, 0.500], [0.500, 0.067, 0.800], [0.000, 0.673, 0.173], [0.500, 0.000, 0.500], [0.500, 0.933, 0.200], [0.000, 0.327, 0.827], [0.000, 0.373, 0.127], [0.500, 0.433, 0.300], [0.500, 0.500, 0.000], [0.000, 0.173, 0.327], [0.500, 0.200, 0.067], [0.000, 0.127, 0.627], [0.000, 0.827, 0.673], [0.500, 0.800, 0.933], [0.500, 0.700, 0.433], [0.500, 0.567, 0.700], [0.000, 0.873, 0.373], [0.000, 0.000, 0.000], [0.500, 0.300, 0.567], [0.000, 0.627, 0.873]], "delta_e_f_ev_per_fu": -6.38, "space_group": "P4/mbm", "dos_at_fermi_per_ev_cell": 9.322, "magnetic_moment_mub_per_fu": 0.00}

no.,E (eV per atom)
1,-6.191
2,-4.552
3,-6.201
4,-6.146
5,-5.018
6,-6.153
7,-6.508
8,-6.244